Density functional theory data (PBE) for crystalline Ho4CI2BrCl2 at its relaxed geometry.

abc: 9.292 9.292 8.055
angles: 100.41 100.41 23.74
Atoms (fractional coordinates):
Ho 0.002 0.002 0.300
Ho 0.367 0.367 0.432
Ho 0.633 0.633 0.568
Ho 0.998 0.998 0.700
C 0.500 0.500 0.500
I 0.174 0.174 0.302
I 0.826 0.826 0.698
Br 0.500 0.500 0.000
Cl 0.150 0.150 0.812
Cl 0.850 0.850 0.188

Properties
ΔE to the lowest computed polymorph: 0.0 meV/atom
SG: C2/m, No. 12


Density functional theory data (PBE) for crystalline NdU at its relaxed geometry.

abc: 4.227 4.227 4.227
angles: 60.00 60.00 60.00
Atoms (fractional coordinates):
Nd 0.000 0.000 0.000
U 0.500 0.500 0.500

Properties
ΔE to the lowest computed polymorph: 777.2 meV/atom
SG: Fm-3m, No. 225
E_form: 2.7 eV/f.u.


Density functional theory data (PBE) for crystalline Sm2GePd at its relaxed geometry.

abc: 4.376 5.903 5.903
angles: 39.89 90.00 90.00
Atoms (fractional coordinates):
Sm 0.000 0.000 0.000
Sm 0.500 0.276 0.276
Ge 0.000 0.720 0.720
Pd 0.500 0.558 0.558

Properties
SG: Amm2, No. 38


Density functional theory data (PBE) for crystalline Rb2Hg3S4 at its relaxed geometry.

abc: 9.688 9.688 9.688
angles: 141.44 107.37 85.38
Atoms (fractional coordinates):
Rb 0.120 0.232 0.352
Rb 0.380 0.732 0.111
Rb 0.620 0.268 0.889
Rb 0.880 0.768 0.648
Hg 0.089 0.250 0.839
Hg 0.250 0.750 0.500
Hg 0.411 0.250 0.161
Hg 0.589 0.750 0.839
Hg 0.750 0.250 0.500
Hg 0.911 0.750 0.161
S 0.006 0.412 0.142
S 0.230 0.088 0.594
S 0.270 0.864 0.858
S 0.494 0.636 0.406
S 0.506 0.364 0.594
S 0.730 0.136 0.142
S 0.770 0.912 0.406
S 0.994 0.588 0.858

Properties
SG: Ibam, No. 72


Density functional theory data (PBE) for crystalline CoHgPdPb at its relaxed geometry.

abc: 4.694 4.694 4.694
angles: 60.00 60.00 60.00
Atoms (fractional coordinates):
Co 0.000 0.000 0.000
Hg 0.250 0.250 0.250
Pd 0.500 0.500 0.500
Pb 0.750 0.750 0.750

Properties
ΔE to the lowest computed polymorph: 0.0 meV/atom
SG: F-43m, No. 216


Density functional theory data (PBE) for crystalline Nd3Te2Se at its relaxed geometry.

abc: 4.396 4.396 10.855
angles: 90.00 90.00 120.00
Atoms (fractional coordinates):
Nd 0.000 0.000 0.000
Nd 0.333 0.667 0.354
Nd 0.667 0.333 0.646
Te 0.333 0.667 0.825
Te 0.667 0.333 0.175
Se 0.000 0.000 0.500

Properties
SG: P-3m1, No. 164


Density functional theory data (PBE) for crystalline HoMgCo at its relaxed geometry.

abc: 4.611 4.611 4.611
angles: 60.00 60.00 60.00
Atoms (fractional coordinates):
Ho 0.000 0.000 0.000
Mg 0.750 0.750 0.750
Co 0.250 0.250 0.250

Properties
SG: F-43m, No. 216


Density functional theory data (PBE) for crystalline BaAgTeO at its relaxed geometry.

abc: 7.406 8.224 15.673
angles: 90.00 90.00 90.00
Atoms (fractional coordinates):
Ba 0.092 0.206 0.139
Ba 0.092 0.294 0.639
Ba 0.408 0.706 0.139
Ba 0.408 0.794 0.639
Ba 0.592 0.206 0.361
Ba 0.592 0.294 0.861
Ba 0.908 0.706 0.361
Ba 0.908 0.794 0.861
Ag 0.245 0.544 0.795
Ag 0.245 0.956 0.295
Ag 0.255 0.044 0.795
Ag 0.255 0.456 0.295
Ag 0.745 0.544 0.705
Ag 0.745 0.956 0.205
Ag 0.755 0.044 0.705
Ag 0.755 0.456 0.205
Te 0.181 0.020 0.475
Te 0.181 0.480 0.975
Te 0.319 0.520 0.475
Te 0.319 0.980 0.975
Te 0.681 0.020 0.025
Te 0.681 0.480 0.525
Te 0.819 0.520 0.025
Te 0.819 0.980 0.525
O 0.182 0.707 0.258
O 0.182 0.793 0.758
O 0.318 0.207 0.258
O 0.318 0.293 0.758
O 0.682 0.707 0.242
O 0.682 0.793 0.742
O 0.818 0.207 0.242
O 0.818 0.293 0.742

Properties
SG: Pbca, No. 61


no.,calculated total energy (eV per cell)
1,-49.92
2,-13.33
3,-22.62
4,-48.55
5,-15.41
6,-33.41
7,-10.90
8,-133.62